This record from Alexandria via LeMat-Bulk describes a relaxed structure of SrTl3Hg2. The functional is PBE.

energy relative to the lowest polymorph listed for this composition	0	meV/atom
Fermi-level density of states	0.54	states/eV/atom

Structure (CIF):
```
data_SrTl3Hg2
_chemical_formula_sum 'Sr4 Tl12 Hg8'
_cell_length_a 6.976
_cell_length_b 10.885
_cell_length_c 9.371
_cell_angle_alpha 90.00
_cell_angle_beta 91.27
_cell_angle_gamma 90.00
_space_group_name_H-M_alt 'C 1 2/c 1'
_space_group_IT_number 15
_space_group_name_Hall '-C 2yc'
loop_
_atom_site_label
_atom_site_fract_x
_atom_site_fract_y
_atom_site_fract_z
_atom_site_occupancy
Sr1 0.000 0.121 0.250 1
Tl1 0.000 0.364 0.750 1
Tl2 0.228 0.380 0.082 1
Hg1 0.234 0.131 0.583 1
```